No. 1
Compound: CdSiH2
Source: Alexandria via LeMat-Bulk
Functional: GGA-PBE
Structure: optimized geometry

Computed properties:
For the spin magnetization, the calculation gives 0.00 μB per atom. As for the symmetry: Fm-3m, No. 225. As for the density of states at the Fermi level: 0.2771 states/eV per atom. As for the polymorph energy (0 for the lowest one): 346.4 meV/atom.

The structure in CIF format:
```
data_CdSiH2
_space_group_name_H-M_alt 'P 1'
_space_group_IT_number 1
_cell_length_a 4.038
_cell_length_b 4.038
_cell_length_c 4.038
_cell_angle_alpha 60.00
_cell_angle_beta 60.00
_cell_angle_gamma 60.00
loop_
_space_group_symop_operation_xyz
'x,y,z'
loop_
_atom_site_label
_atom_site_type_symbol
_atom_site_fract_x
_atom_site_fract_y
_atom_site_fract_z
Cd1 Cd 0.000 0.000 0.000
Si1 Si 0.500 0.500 0.500
H1 H 0.250 0.250 0.250
H2 H 0.750 0.750 0.750
```

No. 2
Compound: Ho3AsSe2
Source: Alexandria via LeMat-Bulk
Functional: GGA-PBE
Structure: optimized geometry

Computed properties:
For the spin magnetization, the calculation gives 0.00 μB per atom. As for the symmetry: Immm, No. 71. As for the density of states at the Fermi level: 0.3634 states/eV per atom. Its uncorrected formation energy is -1714 meV/atom.

The structure in CIF format:
```
data_Ho3AsSe2
_space_group_name_H-M_alt 'P 1'
_space_group_IT_number 1
_cell_length_a 7.079
_cell_length_b 7.079
_cell_length_c 7.079
_cell_angle_alpha 146.65
_cell_angle_beta 132.15
_cell_angle_gamma 59.58
loop_
_space_group_symop_operation_xyz
'x,y,z'
loop_
_atom_site_label
_atom_site_type_symbol
_atom_site_fract_x
_atom_site_fract_y
_atom_site_fract_z
Ho1 Ho 0.000 0.000 0.000
Ho2 Ho 0.341 0.341 0.000
Ho3 Ho 0.659 0.659 0.000
As1 As 0.500 0.000 0.500
Se1 Se 0.169 0.669 0.500
Se2 Se 0.831 0.331 0.500
```

No. 3
Compound: Dy5ZnRh4
Source: Alexandria via LeMat-Bulk
Functional: GGA-PBE
Structure: optimized geometry

Computed properties:
For the spin magnetization, the calculation gives 0.00 μB per atom. The value obtained for the formation energy is -0.773 eV per atom. As for the symmetry: P4/mmm, No. 123. As for the density of states at the Fermi level: 0.6998 states/eV per atom.

The structure in CIF format:
```
data_Dy5ZnRh4
_space_group_name_H-M_alt 'P 1'
_space_group_IT_number 1
_cell_length_a 3.457
_cell_length_b 3.457
_cell_length_c 17.256
_cell_angle_alpha 90.00
_cell_angle_beta 90.00
_cell_angle_gamma 90.00
loop_
_space_group_symop_operation_xyz
'x,y,z'
loop_
_atom_site_label
_atom_site_type_symbol
_atom_site_fract_x
_atom_site_fract_y
_atom_site_fract_z
Dy1 Dy 0.000 0.000 0.000
Dy2 Dy 0.000 0.000 0.197
Dy3 Dy 0.000 0.000 0.391
Dy4 Dy 0.000 0.000 0.609
Dy5 Dy 0.000 0.000 0.803
Zn1 Zn 0.500 0.500 0.500
Rh1 Rh 0.500 0.500 0.099
Rh2 Rh 0.500 0.500 0.297
Rh3 Rh 0.500 0.500 0.703
Rh4 Rh 0.500 0.500 0.901
```

No. 4
Compound: AcErScHg
Source: Alexandria via LeMat-Bulk
Functional: GGA-PBE
Structure: optimized geometry

Computed properties:
For the spin magnetization, the calculation gives 0.26 μB per atom. The value obtained for the formation energy is 0.091 eV per atom. As for the symmetry: F-43m, No. 216. As for the density of states at the Fermi level: 1.9394 states/eV per atom.

The structure in CIF format:
```
data_AcErScHg
_space_group_name_H-M_alt 'P 1'
_space_group_IT_number 1
_cell_length_a 5.436
_cell_length_b 5.436
_cell_length_c 5.436
_cell_angle_alpha 60.00
_cell_angle_beta 60.00
_cell_angle_gamma 60.00
loop_
_space_group_symop_operation_xyz
'x,y,z'
loop_
_atom_site_label
_atom_site_type_symbol
_atom_site_fract_x
_atom_site_fract_y
_atom_site_fract_z
Ac1 Ac 0.000 0.000 0.000
Er1 Er 0.750 0.750 0.750
Sc1 Sc 0.250 0.250 0.250
Hg1 Hg 0.500 0.500 0.500
```

No. 5
Compound: Cu4Sn2Pd
Source: Alexandria via LeMat-Bulk
Functional: GGA-PBE
Structure: optimized geometry

Computed properties:
For the spin magnetization, the calculation gives 0.00 μB per atom. The value obtained for the formation energy is 0.418 eV per atom. As for the symmetry: I4/mmm, No. 139. As for the density of states at the Fermi level: 0.3100 states/eV per atom.

The structure in CIF format:
```
data_Cu4Sn2Pd
_space_group_name_H-M_alt 'P 1'
_space_group_IT_number 1
_cell_length_a 7.308
_cell_length_b 7.308
_cell_length_c 7.308
_cell_angle_alpha 142.43
_cell_angle_beta 142.43
_cell_angle_gamma 54.18
loop_
_space_group_symop_operation_xyz
'x,y,z'
loop_
_atom_site_label
_atom_site_type_symbol
_atom_site_fract_x
_atom_site_fract_y
_atom_site_fract_z
Cu1 Cu 0.000 0.500 0.500
Cu2 Cu 0.189 0.189 0.000
Cu3 Cu 0.500 0.000 0.500
Cu4 Cu 0.811 0.811 0.000
Sn1 Sn 0.382 0.382 0.000
Sn2 Sn 0.618 0.618 0.000
Pd1 Pd 0.000 0.000 0.000
```

No. 6
Compound: Li3UPb2Se6
Source: Alexandria via LeMat-Bulk
Functional: GGA-PBE
Structure: optimized geometry

Computed properties:
For the spin magnetization, the calculation gives 0.08 μB per atom. As for the symmetry: C2/m, No. 12. As for the density of states at the Fermi level: 0.0556 states/eV per atom. Its uncorrected formation energy is -980 meV/atom.

The structure in CIF format:
```
data_Li3UPb2Se6
_space_group_name_H-M_alt 'P 1'
_space_group_IT_number 1
_cell_length_a 7.432
_cell_length_b 7.432
_cell_length_c 6.841
_cell_angle_alpha 99.35
_cell_angle_beta 99.35
_cell_angle_gamma 121.24
loop_
_space_group_symop_operation_xyz
'x,y,z'
loop_
_atom_site_label
_atom_site_type_symbol
_atom_site_fract_x
_atom_site_fract_y
_atom_site_fract_z
Li1 Li 0.000 0.000 0.000
Li2 Li 0.361 0.639 0.000
Li3 Li 0.639 0.361 0.000
U1 U 0.500 0.500 0.500
Pb1 Pb 0.173 0.827 0.500
Pb2 Pb 0.827 0.173 0.500
Se1 Se 0.119 0.419 0.240
Se2 Se 0.265 0.265 0.746
Se3 Se 0.419 0.119 0.240
Se4 Se 0.581 0.881 0.760
Se5 Se 0.735 0.735 0.254
Se6 Se 0.881 0.581 0.760
```

No. 7
Compound: Li3SnP
Source: Alexandria via LeMat-Bulk
Functional: GGA-PBE
Structure: optimized geometry

Computed properties:
For the spin magnetization, the calculation gives 0.00 μB per atom. The value obtained for the formation energy is 0.482 eV per atom. As for the symmetry: Pm-3m, No. 221. As for the density of states at the Fermi level: 0.6265 states/eV per atom. As for the polymorph energy (0 for the lowest one): 696.5 meV/atom.

The structure in CIF format:
```
data_Li3SnP
_space_group_name_H-M_alt 'P 1'
_space_group_IT_number 1
_cell_length_a 4.970
_cell_length_b 4.970
_cell_length_c 4.970
_cell_angle_alpha 90.00
_cell_angle_beta 90.00
_cell_angle_gamma 90.00
loop_
_space_group_symop_operation_xyz
'x,y,z'
loop_
_atom_site_label
_atom_site_type_symbol
_atom_site_fract_x
_atom_site_fract_y
_atom_site_fract_z
Li1 Li 0.000 0.000 0.500
Li2 Li 0.000 0.500 0.000
Li3 Li 0.500 0.000 0.000
Sn1 Sn 0.000 0.000 0.000
P1 P 0.500 0.500 0.500
```

No. 8
Compound: Be2PSe
Source: Alexandria via LeMat-Bulk
Functional: GGA-PBE
Structure: optimized geometry

Computed properties:
For the spin magnetization, the calculation gives 0.00 μB per atom. As for the symmetry: I-4m2, No. 119. As for the density of states at the Fermi level: 0.4494 states/eV per atom. Its uncorrected formation energy is 387 meV/atom. As for the polymorph energy (0 for the lowest one): 726.8 meV/atom.

The structure in CIF format:
```
data_Be2PSe
_space_group_name_H-M_alt 'P 1'
_space_group_IT_number 1
_cell_length_a 6.097
_cell_length_b 6.097
_cell_length_c 6.097
_cell_angle_alpha 148.96
_cell_angle_beta 148.96
_cell_angle_gamma 44.47
loop_
_space_group_symop_operation_xyz
'x,y,z'
loop_
_atom_site_label
_atom_site_type_symbol
_atom_site_fract_x
_atom_site_fract_y
_atom_site_fract_z
Be1 Be 0.000 0.000 0.000
Be2 Be 0.750 0.250 0.500
P1 P 0.250 0.750 0.500
Se1 Se 0.500 0.500 0.000
```

No. 9
Compound: Sr4TbSe5
Source: Alexandria via LeMat-Bulk
Functional: GGA-PBE
Structure: optimized geometry

Computed properties:
For the spin magnetization, the calculation gives 0.00 μB per atom. As for the symmetry: I4/m, No. 87. As for the density of states at the Fermi level: 0.2855 states/eV per atom. Its uncorrected formation energy is -1974 meV/atom.

The structure in CIF format:
```
data_Sr4TbSe5
_space_group_name_H-M_alt 'P 1'
_space_group_IT_number 1
_cell_length_a 7.558
_cell_length_b 7.558
_cell_length_c 7.558
_cell_angle_alpha 99.59
_cell_angle_beta 99.59
_cell_angle_gamma 131.81
loop_
_space_group_symop_operation_xyz
'x,y,z'
loop_
_atom_site_label
_atom_site_type_symbol
_atom_site_fract_x
_atom_site_fract_y
_atom_site_fract_z
Sr1 Sr 0.097 0.700 0.797
Sr2 Sr 0.300 0.097 0.397
Sr3 Sr 0.700 0.903 0.603
Sr4 Sr 0.903 0.300 0.203
Tb1 Tb 0.500 0.500 0.000
Se1 Se 0.000 0.000 0.000
Se2 Se 0.213 0.404 0.618
Se3 Se 0.404 0.787 0.191
Se4 Se 0.596 0.213 0.809
Se5 Se 0.787 0.596 0.382
```

No. 10
Compound: RbVBi
Source: Alexandria via LeMat-Bulk
Functional: GGA-PBE
Structure: optimized geometry

Computed properties:
For the spin magnetization, the calculation gives 0.00 μB per atom. The value obtained for the formation energy is 0.150 eV per atom. As for the symmetry: P-1, No. 2. As for the density of states at the Fermi level: 0.6572 states/eV per atom. As for the polymorph energy (0 for the lowest one): 46.8 meV/atom.

The structure in CIF format:
```
data_RbVBi
_space_group_name_H-M_alt 'P 1'
_space_group_IT_number 1
_cell_length_a 3.524
_cell_length_b 4.701
_cell_length_c 13.596
_cell_angle_alpha 86.94
_cell_angle_beta 85.08
_cell_angle_gamma 68.21
loop_
_space_group_symop_operation_xyz
'x,y,z'
loop_
_atom_site_label
_atom_site_type_symbol
_atom_site_fract_x
_atom_site_fract_y
_atom_site_fract_z
Rb1 Rb 0.226 0.241 0.162
Rb2 Rb 0.774 0.759 0.838
V1 V 0.158 0.205 0.468
V2 V 0.842 0.795 0.532
Bi1 Bi 0.467 0.652 0.369
Bi2 Bi 0.533 0.348 0.631
```

Number 1: V 46.6 Å³/cell. Number 2: V 143.3 Å³/cell. Number 3: V 206.3 Å³/cell. Number 4: V 113.6 Å³/cell. Number 5: V 144.1 Å³/cell. Number 6: V 304.9 Å³/cell. Number 7: V 122.7 Å³/cell. Number 8: V 60.1 Å³/cell. Number 9: V 293.8 Å³/cell. Number 10: V 208.4 Å³/cell.